A relaxed TbLuNO crystal. Source: the Open Quantum Materials Database, functional PBE.

Geometry as POSCAR:
```
TbLuNO
1.0
6.484 0.000 0.000
0.000 8.009 0.000
0.000 0.000 4.896
Tb Lu N O
4 4 4 4
Direct
0.080 0.129 0.000
0.420 0.129 0.500
0.580 0.871 0.000
0.920 0.871 0.500
0.070 0.620 0.001
0.430 0.620 0.501
0.570 0.380 0.001
0.930 0.380 0.501
0.062 0.132 0.500
0.438 0.132 0.000
0.562 0.868 0.500
0.938 0.868 0.000
0.097 0.622 0.502
0.403 0.622 0.002
0.597 0.378 0.502
0.903 0.378 0.002
```

Summary:
For the energy above the most stable polymorph in this dataset, the calculation gives 110 meV per atom.